Here is crystalline BPBrO2 at its relaxed geometry from the Alexandria database. Energies are from PBE-GGA.

## Properties
DOS(E_F)   1.52 states/eV/cell
Excess energy over the best structure of this formula in the dataset   1142.7 meV per atom

Unit cell a=3.6807 b=3.6807 c=5.3629 alpha=90.00 beta=90.00 gamma=90.00
Atoms (fractional coordinates):
O 0.5000 0.0000 0.0000
O 0.0000 0.5000 0.0000
P 0.0000 0.0000 0.5000
B 0.5000 0.5000 0.5000
Br 0.0000 0.0000 0.0000